This record from Alexandria describes crystalline Sc12Ga5Pd3 at its relaxed geometry. The functional is GGA-PBE.

Summary:
Energy relative to the elements (meV per atom): 8
Total magnetic moment (μB/cell): 0.0
Calculated volume (Å³/cell): 1994.14

Lattice parameters (Å, degrees): 13.7339 13.7339 13.7339 109.47 109.47 109.47
Last column: nearest neighbours and their distance in Å.
Fractional coordinates of all 80 atoms:
1 Sc 0.0718 0.1674 0.4416  2 Ga 2.63-2.67, 1 Pd 2.79
2 Ga 0.3750 0.1250 0.7500  4 Sc 2.63
3 Ga 0.7500 0.1250 0.8750  4 Sc 2.63
4 Sc 0.3326 0.7742 0.4044  2 Ga 2.63-2.67, 1 Pd 2.79
5 Sc 0.0718 0.9044 0.1302  2 Ga 2.63-2.67, 1 Pd 2.79
6 Pd 0.2500 0.1250 0.3750  8 Sc 2.79-3.04
7 Sc 0.4282 0.0584 0.3326  2 Ga 2.63-2.67, 1 Pd 2.79
8 Sc 0.2258 0.6674 0.0956  2 Ga 2.63-2.67, 1 Pd 2.79
9 Pd 0.3750 0.6250 0.2500  8 Sc 2.79-3.04
10 Pd 0.8750 0.1250 0.2500  8 Sc 2.79-3.04
11 Sc 0.2742 0.4044 0.8326  2 Ga 2.63-2.67, 1 Pd 2.79
12 Ga 0.5000 0.5000 0.5000  6 Sc 2.67
13 Ga 0.6250 0.7500 0.8750  4 Sc 2.63
14 Sc 0.1674 0.0718 0.9416  2 Ga 2.63-2.67, 1 Pd 2.79
15 Ga 0.2500 0.3750 0.6250  4 Sc 2.63
16 Sc 0.4282 0.3698 0.5956  2 Ga 2.63-2.67, 1 Pd 2.79
17 Sc 0.5956 0.7258 0.6674  2 Ga 2.63-2.67, 1 Pd 2.79
18 Sc 0.0956 0.1674 0.2258  2 Ga 2.63-2.67, 1 Pd 2.79
19 Sc 0.0584 0.6302 0.7258  2 Ga 2.63-2.67, 1 Pd 2.79
20 Pd 0.6250 0.3750 0.7500  8 Sc 2.79-3.04
21 Ga 0.0000 0.5000 0.5000  6 Sc 2.67
22 Sc 0.9044 0.0718 0.6302  2 Ga 2.63-2.67, 1 Pd 2.79
23 Ga 0.0000 0.5000 0.0000  6 Sc 2.67
24 Sc 0.0584 0.4282 0.8326  2 Ga 2.63-2.67, 1 Pd 2.79
25 Sc 0.9416 0.5718 0.1674  2 Ga 2.63-2.67, 1 Pd 2.79
26 Sc 0.5718 0.6302 0.4044  2 Ga 2.63-2.67, 1 Pd 2.79
27 Ga 0.1250 0.3750 0.2500  4 Sc 2.63
28 Sc 0.7742 0.3326 0.9044  2 Ga 2.63-2.67, 1 Pd 2.79
29 Ga 0.5000 0.5000 0.0000  6 Sc 2.67
30 Sc 0.9282 0.0956 0.8698  2 Ga 2.63-2.67, 1 Pd 2.79
31 Sc 0.7258 0.5956 0.1674  2 Ga 2.63-2.67, 1 Pd 2.79
32 Ga 0.8750 0.2500 0.6250  4 Sc 2.63
33 Sc 0.6674 0.2258 0.5956  2 Ga 2.63-2.67, 1 Pd 2.79
34 Sc 0.3326 0.5584 0.4282  2 Ga 2.63-2.67, 1 Pd 2.79
35 Sc 0.5718 0.9416 0.6674  2 Ga 2.63-2.67, 1 Pd 2.79
36 Pd 0.7500 0.3750 0.1250  8 Sc 2.79-3.04
37 Sc 0.6674 0.4416 0.5718  2 Ga 2.63-2.67, 1 Pd 2.79
38 Sc 0.4044 0.1302 0.5718  2 Ga 2.63-2.67, 1 Pd 2.79
39 Ga 0.0000 0.0000 0.0000  6 Sc 2.67
40 Sc 0.5956 0.8698 0.4282  2 Ga 2.63-2.67, 1 Pd 2.79
41 Sc 0.9044 0.8326 0.7742  2 Ga 2.63-2.67, 1 Pd 2.79
42 Sc 0.2258 0.5584 0.6302  2 Ga 2.63-2.67, 1 Pd 2.79
43 Ga 0.2500 0.8750 0.1250  4 Sc 2.63
44 Sc 0.4416 0.6674 0.0718  2 Ga 2.63-2.67, 1 Pd 2.79
45 Sc 0.8698 0.5956 0.9282  2 Ga 2.63-2.67, 1 Pd 2.79
46 Sc 0.1302 0.4044 0.0718  2 Ga 2.63-2.67, 1 Pd 2.79
47 Pd 0.6250 0.2500 0.3750  8 Sc 2.79-3.04
48 Sc 0.8326 0.9282 0.0584  2 Ga 2.63-2.67, 1 Pd 2.79
49 Ga 0.6250 0.8750 0.2500  4 Sc 2.63
50 Sc 0.4416 0.7742 0.8698  2 Ga 2.63-2.67, 1 Pd 2.79
51 Sc 0.8326 0.9044 0.2742  2 Ga 2.63-2.67, 1 Pd 2.79
52 Sc 0.4044 0.2742 0.3326  2 Ga 2.63-2.67, 1 Pd 2.79
53 Ga 0.0000 0.0000 0.5000  6 Sc 2.67
54 Pd 0.3750 0.7500 0.6250  8 Sc 2.79-3.04
55 Sc 0.7258 0.1302 0.0584  2 Ga 2.63-2.67, 1 Pd 2.79
56 Sc 0.5584 0.3326 0.9282  2 Ga 2.63-2.67, 1 Pd 2.79
57 Sc 0.8698 0.2742 0.4416  2 Ga 2.63-2.67, 1 Pd 2.79
58 Sc 0.0956 0.9282 0.3698  2 Ga 2.63-2.67, 1 Pd 2.79
59 Sc 0.2742 0.8698 0.9416  2 Ga 2.63-2.67, 1 Pd 2.79
60 Pd 0.7500 0.8750 0.6250  8 Sc 2.79-3.04
61 Sc 0.9282 0.8326 0.5584  2 Ga 2.63-2.67, 1 Pd 2.79
62 Ga 0.3750 0.2500 0.1250  4 Sc 2.63
63 Ga 0.7500 0.6250 0.3750  4 Sc 2.63
64 Sc 0.3698 0.9416 0.7742  2 Ga 2.63-2.67, 1 Pd 2.79
65 Sc 0.9416 0.3698 0.2742  2 Ga 2.63-2.67, 1 Pd 2.79
66 Sc 0.7742 0.4416 0.3698  2 Ga 2.63-2.67, 1 Pd 2.79
67 Sc 0.6302 0.0584 0.2258  2 Ga 2.63-2.67, 1 Pd 2.79
68 Sc 0.6302 0.5718 0.9044  2 Ga 2.63-2.67, 1 Pd 2.79
69 Pd 0.8750 0.7500 0.1250  8 Sc 2.79-3.04
70 Ga 0.5000 0.0000 0.0000  6 Sc 2.67
71 Sc 0.1674 0.0956 0.7258  2 Ga 2.63-2.67, 1 Pd 2.79
72 Sc 0.5584 0.2258 0.1302  2 Ga 2.63-2.67, 1 Pd 2.79
73 Sc 0.1302 0.7258 0.5584  2 Ga 2.63-2.67, 1 Pd 2.79
74 Ga 0.5000 0.0000 0.5000  6 Sc 2.67
75 Ga 0.8750 0.6250 0.7500  4 Sc 2.63
76 Pd 0.1250 0.8750 0.7500  8 Sc 2.79-3.04
77 Pd 0.2500 0.6250 0.8750  8 Sc 2.79-3.04
78 Pd 0.1250 0.2500 0.8750  8 Sc 2.79-3.04
79 Sc 0.3698 0.4282 0.0956  2 Ga 2.63-2.67, 1 Pd 2.79
80 Ga 0.1250 0.7500 0.3750  4 Sc 2.63